Computed, not measured: an optimized crystal structure of K2LiHg6Au at the PBE level of DFT.

a = 7.6500 Å, b = 7.6500 Å, c = 7.3693 Å
α = 118.55°, β = 118.55°, γ = 89.89°
Last column: nearest neighbours and their distance in Å.
Positions (direct):
K: 0.2483 0.7517 0.0000  12 Hg 3.69-4.00
K: 0.7517 0.2483 0.0000  12 Hg 3.69-4.00
Li: 0.0000 0.0000 0.5000  6 Hg 2.60-2.63
Hg: 0.2402 0.7598 0.5000  1 Li 2.60, 1 Au 2.81
Hg: 0.2429 0.2429 0.5052  1 Li 2.60, 1 Au 2.81
Hg: 0.2433 0.2433 0.9810  1 Li 2.63, 1 Au 2.83
Hg: 0.7567 0.7567 0.0190  1 Li 2.63, 1 Au 2.83
Hg: 0.7571 0.7571 0.4948  1 Li 2.60, 1 Au 2.81
Hg: 0.7598 0.2402 0.5000  1 Li 2.60, 1 Au 2.81
Au: 0.5000 0.5000 0.5000  6 Hg 2.81-2.83

Summary:
The formation energy from the elements comes out at -0.192 eV per atom. The density of states at the Fermi level is 3.57 states/eV/cell. As for the symmetry: No. 12.